# 1
First-principles (PBE-GGA) data for an optimized crystal structure of AlPtAu4, as listed in Alexandria via LeMat-Bulk.

V = 18.83 Å³ per atom
Total DFT energy (no corrections) = -21.59 eV/cell
Space-group type = F-43m, No. 216
Formation enthalpy at 0 K = 1.299 eV per formula unit

Cell lengths 5.426, 5.426, 5.426 Å; angles 60.00, 60.00, 60.00 degrees
Fractional positions:
1 Al 0.000 0.000 0.000
2 Pt 0.750 0.750 0.750
3 Au 0.375 0.375 0.375
4 Au 0.375 0.375 0.875
5 Au 0.375 0.875 0.375
6 Au 0.875 0.375 0.375

# 2
First-principles (PBE-GGA) data for an optimized crystal structure of Ac4Ir3Pt, as listed in Alexandria via LeMat-Bulk.

V = 26.77 Å³ per atom
Total DFT energy (no corrections) = -54.90 eV/cell
Space-group type = Pmm2, No. 25
Formation enthalpy at 0 K = -5.844 eV per formula unit

Cell lengths 4.160, 4.464, 11.533 Å; angles 90.00, 90.00, 90.00 degrees
Fractional positions:
1 Ac 0.000 0.000 0.000
2 Ac 0.000 0.500 0.271
3 Ac 0.500 0.000 0.491
4 Ac 0.500 0.500 0.772
5 Ir 0.000 0.500 0.548
6 Ir 0.500 0.000 0.217
7 Ir 0.500 0.500 0.046
8 Pt 0.000 0.000 0.718

> Which formula does entry 1 have?

AlPtAu4